Crystalline LiCaCe2Tl4 at its relaxed geometry. Source: Alexandria via LeMat-Bulk, functional PBE-GGA. Values from VASP.

Quantum ESPRESSO input file:
```
&SYSTEM
  ibrav = 0, nat = 8, ntyp = 4
/
ATOMIC_SPECIES
Ce 140.12 Ce.upf
Ca 40.08 Ca.upf
Tl 204.38 Tl.upf
Li 6.94 Li.upf
ATOMIC_POSITIONS crystal
Ce 0.752 0.752 0.744
Ce 0.248 0.248 0.256
Ca 0.000 0.000 0.000
Tl 0.379 0.379 0.864
Tl 0.127 0.127 0.618
Tl 0.621 0.621 0.136
Tl 0.873 0.873 0.382
Li 0.500 0.500 0.500
CELL_PARAMETERS angstrom
-3.353 -3.554 2.294
0.993 -5.291 -0.395
3.977 -2.612 8.115
```

Calculated values
theoretical density = 8.5 Mg/m³
space-group type = R-3m (166)
E = -3.443 eV per atom

***

Crystalline Fe3BiB at its relaxed geometry. Source: Alexandria via LeMat-Bulk, functional PBE-GGA. Values from VASP.

Quantum ESPRESSO input file:
```
&SYSTEM
  ibrav = 0, nat = 5, ntyp = 3
/
ATOMIC_SPECIES
Fe 55.84 Fe.upf
Bi 208.98 Bi.upf
B 10.81 B.upf
ATOMIC_POSITIONS crystal
Fe 0.000 0.000 0.500
Fe 0.500 0.000 0.000
Fe 0.000 0.500 0.000
Bi 0.000 0.000 0.000
B 0.500 0.500 0.500
CELL_PARAMETERS angstrom
-4.178 -2.593 -0.045
1.195 -2.002 4.330
-2.302 3.668 2.331
```

Calculated values
theoretical density = 5.4 Mg/m³
distance to the lowest polymorph of the same formula = 2125 meV/atom
space-group type = Pm-3m (221)

***

Crystalline Tb6SbC2 at its relaxed geometry. Source: Alexandria via LeMat-Bulk, functional PBE-GGA. Values from VASP.

Quantum ESPRESSO input file:
```
&SYSTEM
  ibrav = 0, nat = 9, ntyp = 3
/
ATOMIC_SPECIES
C 12.01 C.upf
Tb 158.93 Tb.upf
Sb 121.76 Sb.upf
ATOMIC_POSITIONS crystal
C 0.821 0.269 0.090
C 0.179 0.731 0.910
Tb 0.302 0.327 0.069
Tb 0.336 0.749 0.580
Tb 0.034 0.127 0.806
Tb 0.966 0.873 0.194
Tb 0.664 0.251 0.420
Tb 0.698 0.673 0.931
Sb 0.000 0.500 0.500
CELL_PARAMETERS angstrom
4.941 0.000 0.000
2.470 6.569 -0.533
2.470 2.075 7.050
```

Calculated values
theoretical density = 7.8 Mg/m³
space-group type = C2/m (12)
E = -5.870 eV per atom

***

Crystalline Li2NdSm at its relaxed geometry. Source: Alexandria via LeMat-Bulk, functional PBE-GGA. Values from VASP.

Quantum ESPRESSO input file:
```
&SYSTEM
  ibrav = 0, nat = 4, ntyp = 3
/
ATOMIC_SPECIES
Li 6.94 Li.upf
Nd 144.24 Nd.upf
Sm 150.36 Sm.upf
ATOMIC_POSITIONS crystal
Li 0.000 0.000 0.248
Li 0.000 0.000 0.752
Nd 0.500 0.500 0.500
Sm 0.500 0.500 0.000
CELL_PARAMETERS angstrom
-1.010 -3.333 -1.514
-0.154 -1.530 3.472
-7.358 1.982 0.547
```

Calculated values
theoretical density = 4.7 Mg/m³
distance to the lowest polymorph of the same formula = 0 meV/atom
space-group type = P4/mmm (123)

***

Crystalline AcDyGe2Pt5 at its relaxed geometry. Source: Alexandria via LeMat-Bulk, functional PBE-GGA. Values from VASP.

Quantum ESPRESSO input file:
```
&SYSTEM
  ibrav = 0, nat = 9, ntyp = 4
/
ATOMIC_SPECIES
Pt 195.08 Pt.upf
Dy 162.50 Dy.upf
Ge 72.64 Ge.upf
Ac 227.00 Ac.upf
ATOMIC_POSITIONS crystal
Pt 0.500 0.000 0.257
Pt 0.000 0.500 0.743
Pt 0.000 0.500 0.257
Pt 0.500 0.500 0.500
Pt 0.500 0.000 0.743
Dy 0.000 0.000 0.000
Ge 0.500 0.500 0.863
Ge 0.500 0.500 0.137
Ac 0.000 0.000 0.500
CELL_PARAMETERS angstrom
-0.532 2.714 -3.470
1.147 -3.290 -2.749
-8.597 -2.479 -0.621
```

Calculated values
theoretical density = 14.2 Mg/m³
space-group type = P4/mmm (123)
E = -6.182 eV per atom

***

Crystalline Ce2YTmAs4 at its relaxed geometry. Source: Alexandria via LeMat-Bulk, functional PBE-GGA. Values from VASP.

Quantum ESPRESSO input file:
```
&SYSTEM
  ibrav = 0, nat = 8, ntyp = 4
/
ATOMIC_SPECIES
Ce 140.12 Ce.upf
Y 88.91 Y.upf
As 74.92 As.upf
Tm 168.93 Tm.upf
ATOMIC_POSITIONS crystal
Ce 0.500 0.000 0.500
Ce 0.000 0.000 0.000
Y 0.500 0.500 0.000
As 0.000 0.255 0.250
As 0.500 0.743 0.254
As 0.500 0.257 0.746
As 0.000 0.745 0.750
Tm 0.000 0.500 0.500
CELL_PARAMETERS angstrom
4.159 0.000 0.000
0.000 7.183 -0.135
0.000 2.535 6.745
```

Calculated values
theoretical density = 6.9 Mg/m³
space-group type = P2/m (10)
E = -6.652 eV per atom